Entry 1:
The following is a PBE calculation of an optimized crystal structure of RbPuTe2Au, from the Alexandria database.

Values from the calculation:
The size of the total moment is 1.200 μB/atom. The symmetry is Cmme. The calculated total energy comes out at -5.694 eV/atom.

abc: 9.161 9.161 6.199
angles: 90.00 90.00 137.70
Element x y z (fractional)
Rb 0.250 0.750 0.760
Rb 0.750 0.250 0.240
Pu 0.250 0.250 0.500
Pu 0.750 0.750 0.500
Te 0.127 0.873 0.251
Te 0.373 0.627 0.251
Te 0.627 0.373 0.749
Te 0.873 0.127 0.749
Au 0.000 0.000 0.000
Au 0.500 0.500 0.000

Entry 2:
The following is a PBE calculation of an optimized crystal structure of RbPu2Te4Au, from the Alexandria database.

Values from the calculation:
The size of the total moment is 1.250 μB/atom. The symmetry is Cmcm. The calculated total energy comes out at -6.571 eV/atom.

abc: 8.032 8.032 15.652
angles: 90.00 90.00 147.32
Element x y z (fractional)
Rb 0.122 0.878 0.750
Rb 0.878 0.122 0.250
Pu 0.369 0.631 0.566
Pu 0.369 0.631 0.934
Pu 0.631 0.369 0.066
Pu 0.631 0.369 0.434
Te 0.000 0.000 0.000
Te 0.000 0.000 0.500
Te 0.264 0.736 0.105
Te 0.264 0.736 0.395
Te 0.445 0.555 0.750
Te 0.555 0.445 0.250
Te 0.736 0.264 0.605
Te 0.736 0.264 0.895
Au 0.156 0.844 0.250
Au 0.844 0.156 0.750